The following is a PBEsol calculation of K2ScMo after structural relaxation, from Alexandria.

a = 3.3268 Å, b = 3.3268 Å, c = 37.2107 Å
α = 90.00°, β = 90.00°, γ = 120.00°
Closest atoms and distances in Å follow each position.
Space group R3m (No. 160, hexagonal axes)
Asymmetric unit:
K1 0.0000 0.0000 0.0000  6 K 3.33
K2 0.0000 0.0000 0.2229  6 K 3.33, 3 Mo 3.42
Sc1 0.0000 0.0000 0.7619  3 Mo 2.72
Mo1 0.0000 0.0000 0.4803  3 Sc 2.72

Calculated values
DOS(E_F) = 1.290 states/eV/atom
Total energy = -4.2504 eV per atom